a:
Density functional theory data (GGA-PBE) for a relaxed LiMnHRh2 crystal.

```
5
Lattice="3.923 0.000 0.000 0.000 3.923 0.000 0.000 0.000 3.656" Properties=species:S:1:pos:R:3 pbc="T T T"
Li 0.000 0.000 0.000
Mn 1.962 1.962 0.000
H 1.962 1.962 1.828
Rh 0.000 1.962 1.828
Rh 1.962 0.000 1.828
```

Output
DOS at the Fermi energy = 1.99 states/eV/f.u.
Mass density = 7.93 g/cm³

=====

b:
Density functional theory data (GGA-PBE) for a relaxed LiMnHRh2 crystal.

```
5
Lattice="3.968 0.000 0.000 0.000 3.968 0.000 0.000 0.000 3.480" Properties=species:S:1:pos:R:3 pbc="T T T"
Li 0.000 0.000 0.000
Mn 1.984 1.984 0.000
H 0.000 0.000 1.740
Rh 0.000 1.984 1.740
Rh 1.984 0.000 1.740
```

Output
DOS at the Fermi energy = 1.92 states/eV/f.u.
Mass density = 8.14 g/cm³

=====

Among the structures shown above, b is the most stable, with the second-best lying 87 meV/atom higher.